FePHN2 | PBE-GGA | optimized geometry

Unit cell a=3.254 b=5.189 c=3.254 alpha=90.00 beta=90.00 gamma=90.00
Each line ends with the local moment (μB).
Positions (direct):
H: 0.500 0.500 0.500  -0.01
N: 0.500 0.000 0.000  0.18
N: 0.000 0.000 0.500  0.20
Fe: 0.000 0.500 0.000  3.02
P: 0.000 0.000 0.000  -0.05

Calculated values
density	3.5	Mg/m³
raw total energy	-5.5912	eV/atom
symmetry	P4/mmm (123)

FeHPb2N | PBE-GGA | optimized geometry

Unit cell a=5.310 b=3.493 c=5.310 alpha=90.00 beta=90.00 gamma=90.00
Each line ends with the local moment (μB).
Positions (direct):
Pb: 0.000 0.000 0.500  0.01
Pb: 0.500 0.000 0.000  -0.01
H: 0.500 0.500 0.500  0.00
N: 0.000 0.000 0.000  -0.01
Fe: 0.000 0.500 0.000  1.42

Calculated values
density	8.2	Mg/m³
raw total energy	-4.8819	eV/atom
symmetry	P4/mmm (123)

FeHRu2N | PBE-GGA | optimized geometry

Unit cell a=4.403 b=2.906 c=4.403 alpha=90.00 beta=90.00 gamma=90.00
Positions (direct):
Fe: 0.000 0.000 0.000
H: 0.000 0.500 0.000
Ru: 0.500 0.000 0.000
Ru: 0.000 0.000 0.500
N: 0.500 0.500 0.500

Calculated values
density	8.0	Mg/m³
raw total energy	-6.1356	eV/atom
symmetry	P4/mmm (123)